GaHg3Pt: relaxed, PBE.

Properties
Crystal system: cubic
D(E_F): 2.865 states/eV/f.u.
DFT total energy: -1.846 eV/atom
Energy above the lowest structure with this stoichiometry: 0.00 eV per formula unit
Total moment: 0.0 μB/cell

The structure in POSCAR format:
```
GaHg3Pt
1.0
5.287 0.000 0.000
0.000 5.287 0.000
0.000 0.000 5.287
Ga Hg Pt
1 3 1
direct
0.000 0.000 0.000 Ga
0.000 0.500 0.500 Hg
0.500 0.000 0.500 Hg
0.500 0.500 0.000 Hg
0.500 0.500 0.500 Pt
```

Y3Pt: relaxed, PBE.

Properties
Crystal system: tetragonal
D(E_F): 6.959 states/eV/f.u.
DFT total energy: -6.688 eV/atom
Total moment: 0.0 μB/cell

The structure in POSCAR format:
```
Y3Pt
1.0
-2.186 2.186 5.327
2.186 -2.186 5.327
2.186 2.186 -5.327
Y Pt
3 1
direct
0.000 0.000 0.000 Y
0.250 0.750 0.500 Y
0.750 0.250 0.500 Y
0.500 0.500 0.000 Pt
```

Ac3NiI2: relaxed, PBE.

Properties
Crystal system: orthorhombic
Uncorrected formation energy: -73.3 kJ/mol of atoms
D(E_F): 5.298 states/eV/f.u.
DFT total energy: -4.294 eV/atom
Total moment: 0.0 μB/cell

The structure in POSCAR format:
```
Ac3NiI2
1.0
-2.110 3.289 7.995
2.110 -3.289 7.995
2.110 3.289 -7.995
Ac Ni I
3 1 2
direct
0.000 0.000 0.000 Ac
0.379 0.379 0.000 Ac
0.621 0.621 0.000 Ac
0.500 0.000 0.500 Ni
0.186 0.686 0.500 I
0.814 0.314 0.500 I
```

SnH: relaxed, PBE.

Properties
Crystal system: orthorhombic
D(E_F): 0.168 states/eV/f.u.
DFT total energy: -3.369 eV/atom
Energy above the lowest structure with this stoichiometry: 0.48 eV per formula unit
Total moment: 0.0 μB/cell

The structure in POSCAR format:
```
SnH
1.0
3.698 0.000 0.000
0.000 12.805 0.000
0.000 0.000 5.014
Sn H
6 6
direct
0.250 0.016 0.249 Sn
0.250 0.484 0.249 Sn
0.250 0.750 0.511 Sn
0.750 0.250 0.489 Sn
0.750 0.516 0.751 Sn
0.750 0.984 0.751 Sn
0.250 0.250 0.649 H
0.250 0.632 0.246 H
0.250 0.868 0.246 H
0.750 0.132 0.754 H
0.750 0.368 0.754 H
0.750 0.750 0.351 H
```

Question: The highest D(E_F) belongs to which entry?
Answer: Y3Pt